# TePbSCl2, single point on PBEsol structure, DFT SCAN
# Magnetic moment (μB per cell): 0.59
# Formation energy from raw total energies (kJ/mol of atoms): -7
data_TePbSCl2
_chemical_formula_sum 'Te1 Pb1 S1 Cl2'
_cell_length_a 5.2084
_cell_length_b 5.2084
_cell_length_c 5.2595
_cell_angle_alpha 90.00
_cell_angle_beta 90.00
_cell_angle_gamma 90.00
_symmetry_space_group_name_H-M 'P 4/m m m'
_symmetry_Int_Tables_number 123
_symmetry_space_group_name_Hall '-P 4 2'
loop_
_atom_site_label
_atom_site_type_symbol
_atom_site_fract_x
_atom_site_fract_y
_atom_site_fract_z
Te1 Te 0.0000 0.0000 0.0000
Pb1 Pb 0.5000 0.5000 0.5000
S1 S 0.0000 0.0000 0.5000
Cl1 Cl 0.0000 0.5000 0.0000